Record 1
Computed, not measured: a relaxed structure of CaTc2Sn2 at the PBE level of DFT.

The space group is I4/mmm (No. 139) and the conventional cell measures 4.801, 4.801 and 9.865 Å, with angles of 90.00, 90.00 and 90.00 degrees. The inequivalent atoms are Ca at (0.000, 0.000, 0.000), Tc at (0.000, 0.000, 0.388) and Sn at (0.000, 0.500, 0.250).

The calculation puts the energy of formation at -0.007 eV per atom. Its magnetization is 0.00 μB/f.u. As for the uncorrected energy: -0.2262 hartree per atom. The energy above the most stable polymorph in this dataset is 0 meV per atom.

Record 2
Computed, not measured: a relaxed structure of NiBr at the PBE level of DFT.

The space group is P2_12_12_1 (No. 19) and the conventional cell measures 6.927, 7.138 and 7.187 Å, with angles of 90.00, 90.00 and 90.00 degrees. The inequivalent atoms are Ni at (0.088, 0.200, 0.417), Ni at (0.136, 0.594, 0.832), Br at (0.081, 0.921, 0.886) and Br at (0.092, 0.410, 0.119).

The formation energy without anion corrections comes out at 0.05 eV per atom. Its magnetization is 0.98 μB/f.u. As for the uncorrected energy: -0.1350 hartree per atom.

Record 3
Computed, not measured: a relaxed structure of HgP2SCl at the PBE level of DFT.

The space group is P4/mmm (No. 123) and the conventional cell measures 4.669, 4.669 and 4.984 Å, with angles of 90.00, 90.00 and 90.00 degrees. The inequivalent atoms are Hg at (0.000, 0.000, 0.000), P at (0.000, 0.500, 0.500), S at (0.500, 0.500, 0.000) and Cl at (0.500, 0.500, 0.500).

The formation energy without anion corrections comes out at 1.28 eV per atom. Its magnetization is 0.56 μB/f.u. As for the uncorrected energy: -0.0786 hartree per atom. The energy above the most stable polymorph in this dataset is 497 meV per atom.

Theoretical density, record by record: 6.92 5.18 5.04 g cm⁻³